1.
This record from Alexandria via LeMat-Bulk describes Mg2ZrTe2 after structural relaxation. The functional is PBE-GGA.

Its energy relative to the lowest polymorph listed for this composition is 0 meV/atom.

The structure belongs to space group P4/mbm (No. 127); the cell edges are 7.8994, 7.8994 and 3.8049 Å and the angles 90.00°, 90.00° and 90.00°. The asymmetric unit holds Mg at (0.1300, 0.3700, 0.0000), Zr at (0.0000, 0.0000, 0.0000) and Te at (0.1765, 0.6765, 0.5000).

2.
This record from Alexandria via LeMat-Bulk describes Mg2ZrTe after structural relaxation. The functional is PBE-GGA.

The structure belongs to space group P2/m (No. 10); the cell edges are 3.8953, 3.9126 and 5.9932 Å and the angles 90.00°, 90.19° and 90.00°. The asymmetric unit holds Mg at (0.0014, 0.0000, 0.2430), Zr at (0.5000, 0.5000, 0.0000) and Te at (0.5000, 0.5000, 0.5000).

3.
This record from Alexandria via LeMat-Bulk describes MgZrTe after structural relaxation. The functional is PBE-GGA.

Its energy relative to the lowest polymorph listed for this composition is 0 meV/atom.

The structure belongs to space group P4/mmm (No. 123); the cell edges are 3.6775, 3.6775 and 9.9454 Å and the angles 90.00°, 90.00° and 90.00°. The asymmetric unit holds Mg at (0.0000, 0.0000, 0.1700), Zr at (0.0000, 0.0000, 0.5000), Zr at (0.5000, 0.5000, 0.0000) and Te at (0.5000, 0.5000, 0.3293).

4.
This record from Alexandria via LeMat-Bulk describes Mg2ZrTe2 after structural relaxation. The functional is PBE-GGA.

Its energy relative to the lowest polymorph listed for this composition is 145 meV/atom.

The structure belongs to space group I4/mmm (No. 139); the cell edges are 5.4914, 5.4914 and 8.6620 Å and the angles 90.00°, 90.00° and 90.00°. The asymmetric unit holds Mg at (0.0000, 0.0000, 0.1550), Zr at (0.0000, 0.0000, 0.5000) and Te at (0.0000, 0.5000, 0.2500).

5.
This record from Alexandria via LeMat-Bulk describes Mg2ZrTe after structural relaxation. The functional is PBE-GGA.

The structure belongs to space group Cmmm (No. 65); the cell edges are 5.8613, 9.7742 and 3.3209 Å and the angles 90.00°, 90.00° and 90.00°. The asymmetric unit holds Mg at (0.2500, 0.2500, 0.0000), Zr at (0.0000, 0.0000, 0.5000) and Te at (0.0000, 0.5000, 0.5000).

6.
This record from Alexandria via LeMat-Bulk describes MgZrTe after structural relaxation. The functional is PBE-GGA.

Its energy relative to the lowest polymorph listed for this composition is 555 meV/atom.

The structure belongs to space group F-43m (No. 216); the cell edges are 6.9531, 6.9531 and 6.9531 Å and the angles 90.00°, 90.00° and 90.00°. The asymmetric unit holds Mg at (0.0000, 0.0000, 0.0000), Zr at (0.2500, 0.2500, 0.2500) and Te at (0.0000, 0.0000, 0.5000).

no.,uncorrected formation energy (eV/atom)
1,-0.19
2,-0.19
3,-0.41
4,-0.04
5,-0.12
6,0.14